# 1
Compound: PrZn3I9
Source: the Alexandria database
Functional: GGA-PBE
Structure: relaxed

energy relative to the elements, uncorrected	-0.787	eV/atom

Cell lengths 20.5585, 10.2137, 14.6765 Å; angles 90.00, 129.35, 90.00 degrees
Last column: nearest neighbours and their distance in Å.
Space group Cc (No. 9)
Asymmetric unit:
1 Pr 0.0000 0.2310 0.0000  6 I 3.16-3.21
2 Zn 0.1467 0.1135 0.8319  4 I 2.64-2.66
3 Zn 0.2288 0.4182 0.7068  4 I 2.64-2.67
4 Zn 0.3570 0.0754 0.6665  4 I 2.64-2.67
5 I 0.0180 0.0748 0.8292  1 Zn 2.65
6 I 0.1145 0.3402 0.7239  2 Zn 2.64
7 I 0.1558 0.0805 0.2211  1 Zn 2.64
8 I 0.1556 0.3843 0.0533  1 Zn 2.67
9 I 0.2368 0.2520 0.5744  2 Zn 2.64-2.66
10 I 0.3023 0.1371 0.0345  2 Zn 2.64-2.66
11 I 0.3651 0.4977 0.4156  1 Zn 2.66
12 I 0.4059 0.0026 0.3756  1 Zn 2.67
13 I 0.4868 0.1833 0.6967  1 Zn 2.65

---

# 2
Compound: BaHoCd2Au4
Source: the Alexandria database
Functional: GGA-PBE
Structure: relaxed

E_form	-447	kJ/mol of formula units

Cell lengths 4.8718, 4.8718, 28.7790 Å; angles 90.00, 90.00, 120.00 degrees
Last column: nearest neighbours and their distance in Å.
Space group R-3m (No. 166, hexagonal axes)
Asymmetric unit:
1 Ba 0.0000 0.0000 0.0000  8 Au 3.40-3.65
2 Ho 0.0000 0.0000 0.5000  8 Au 2.89-3.04
3 Cd 0.0000 0.0000 0.2381  7 Au 2.93-3.20
4 Au 0.0000 0.0000 0.1269  4 Cd 2.96-3.20, 3 Ho 3.04, 3 Au 3.31
5 Au 0.0000 0.0000 0.3995  1 Ho 2.89, 3 Cd 2.93

---

# 3
Compound: TiSb2Rh
Source: the Alexandria database
Functional: GGA-PBE
Structure: relaxed

energy relative to the elements, uncorrected	-0.088	eV/atom

Cell lengths 4.4110, 4.4110, 17.8009 Å; angles 90.00, 90.00, 90.00 degrees
Last column: nearest neighbours and their distance in Å.
Space group I-42d (No. 122)
Asymmetric unit:
1 Ti 0.0000 0.0000 0.0000  4 Sb 2.74
2 Sb 0.2362 0.2500 0.6250  2 Rh 2.69, 2 Ti 2.74
3 Rh 0.0000 0.0000 0.5000  4 Sb 2.69

---

# 4
Compound: ScTcW3
Source: the Alexandria database
Functional: GGA-PBE
Structure: relaxed

relative energy among the computed polymorphs	0	kJ/mol of formula units
E_form	726	kJ/mol of formula units

Cell lengths 4.7363, 4.7363, 4.7363 Å; angles 90.00, 90.00, 90.00 degrees
Last column: nearest neighbours and their distance in Å.
Space group Pm-3m (No. 221)
Asymmetric unit:
1 Sc 0.0000 0.0000 0.0000  12 W 3.35
2 Tc 0.5000 0.5000 0.5000  6 W 2.37
3 W 0.0000 0.5000 0.5000  2 Tc 2.37

---

| no. | V (Å³/cell) |
| --- | --- |
| 1 | 2383.24 |
| 2 | 591.54 |
| 3 | 346.35 |
| 4 | 106.25 |